# 1
First-principles (PBE-GGA) data for a geometry-optimized Dy2HfZr structure, as listed in the Alexandria database.

Output
- Formation energy from the elements: 147 meV/atom
- VASP energy: -6.780 eV per atom
- Energy relative to the lowest polymorph listed for this composition: 0.0000 eV per atom
- DOS at the Fermi energy: 1.35 states/eV/atom

```
data_Dy2HfZr
_chemical_formula_sum 'Dy6 Hf3 Zr3'
_space_group_name_H-M_alt 'R 3 m'
_space_group_IT_number 160
_space_group_name_Hall 'R 3 -2"'
_cell_length_a 3.3499
_cell_length_b 3.3499
_cell_length_c 32.4659
_cell_angle_alpha 90.00
_cell_angle_beta 90.00
_cell_angle_gamma 120.00
loop_
_atom_site_label
_atom_site_fract_x
_atom_site_fract_y
_atom_site_fract_z
Dy1 0.0000 0.0000 0.0000
Dy2 0.0000 0.0000 0.1683
Hf1 0.0000 0.0000 0.5842
Zr1 0.0000 0.0000 0.7506
```

# 2
First-principles (PBE-GGA) data for a geometry-optimized ReSi4Pb structure, as listed in the Alexandria database.

Output
- Formation energy (no corrections): 0.85 eV per atom
- VASP energy: -5.455 eV per atom
- DOS at the Fermi energy: 0.43 states/eV/atom

```
data_ReSi4Pb
_chemical_formula_sum 'Re4 Si16 Pb4'
_space_group_name_H-M_alt 'F -4 3 m'
_space_group_IT_number 216
_space_group_name_Hall 'F -4 2 3'
_cell_length_a 7.361
_cell_length_b 7.361
_cell_length_c 7.361
_cell_angle_alpha 90.00
_cell_angle_beta 90.00
_cell_angle_gamma 90.00
loop_
_atom_site_label
_atom_site_fract_x
_atom_site_fract_y
_atom_site_fract_z
Re1 0.000 0.000 0.000
Si1 0.127 0.127 0.373
Pb1 0.250 0.250 0.750
```

# 3
First-principles (PBE-GGA) data for a geometry-optimized La6Pt3Au structure, as listed in the Alexandria database.

Output
- Formation energy from the elements: -879 meV/atom
- VASP energy: -5.976 eV per atom
- DOS at the Fermi energy: 1.06 states/eV/atom

```
data_La6Pt3Au
_chemical_formula_sum 'La12 Pt6 Au2'
_space_group_name_H-M_alt 'P 1 21/m 1'
_space_group_IT_number 11
_space_group_name_Hall '-P 2yb'
_cell_length_a 12.275
_cell_length_b 4.262
_cell_length_c 12.930
_cell_angle_alpha 90.00
_cell_angle_beta 111.84
_cell_angle_gamma 90.00
loop_
_atom_site_label
_atom_site_fract_x
_atom_site_fract_y
_atom_site_fract_z
La1 0.055 0.250 0.395
La2 0.089 0.750 0.938
La3 0.240 0.250 0.773
La4 0.252 0.750 0.255
La5 0.402 0.250 0.563
La6 0.444 0.250 0.106
Pt1 0.001 0.250 0.776
Pt2 0.333 0.750 0.945
Pt3 0.423 0.250 0.338
Au1 0.203 0.750 0.575
```

# 4
First-principles (PBE-GGA) data for a geometry-optimized Nd2UCuSe5 structure, as listed in the Alexandria database.

Output
- Formation energy (no corrections): -1.38 eV per atom
- VASP energy: -6.080 eV per atom
- DOS at the Fermi energy: 0.84 states/eV/atom

```
data_Nd2UCuSe5
_chemical_formula_sum 'Nd8 U4 Cu4 Se20'
_space_group_name_H-M_alt 'C m c 21'
_space_group_IT_number 36
_space_group_name_Hall 'C 2c -2'
_cell_length_a 4.027
_cell_length_b 17.384
_cell_length_c 12.580
_cell_angle_alpha 90.00
_cell_angle_beta 90.00
_cell_angle_gamma 90.00
loop_
_atom_site_label
_atom_site_fract_x
_atom_site_fract_y
_atom_site_fract_z
Nd1 0.000 0.113 0.000
Nd2 0.000 0.117 0.347
U1 0.000 0.179 0.679
Cu1 0.000 0.448 0.074
Se1 0.000 0.017 0.670
Se2 0.000 0.302 0.343
Se3 0.000 0.313 0.013
Se4 0.000 0.344 0.673
Se5 0.000 0.494 0.401
```

# 5
First-principles (PBE-GGA) data for a geometry-optimized Ce4Nd3DySe8 structure, as listed in the Alexandria database.

Output
- Formation energy (no corrections): -1.82 eV per atom
- VASP energy: -6.230 eV per atom
- DOS at the Fermi energy: 1.64 states/eV/atom

```
data_Ce4Nd3DySe8
_chemical_formula_sum 'Ce12 Nd9 Dy3 Se24'
_space_group_name_H-M_alt 'R -3 m'
_space_group_IT_number 166
_space_group_name_Hall '-R 3 2"'
_cell_length_a 8.3882
_cell_length_b 8.3882
_cell_length_c 20.6264
_cell_angle_alpha 90.00
_cell_angle_beta 90.00
_cell_angle_gamma 120.00
loop_
_atom_site_label
_atom_site_fract_x
_atom_site_fract_y
_atom_site_fract_z
Ce1 0.0000 0.0000 0.0000
Ce2 0.0000 0.5000 0.0000
Nd1 0.0000 0.5000 0.5000
Dy1 0.0000 0.0000 0.5000
Se1 0.0000 0.0000 0.2507
Se2 0.0067 0.5033 0.2490
```

# 6
First-principles (PBE-GGA) data for a geometry-optimized HgAu2O structure, as listed in the Alexandria database.

Output
- Formation energy (no corrections): 0.39 eV per atom
- VASP energy: -2.563 eV per atom
- Energy relative to the lowest polymorph listed for this composition: 0.2381 eV per atom
- DOS at the Fermi energy: 0.25 states/eV/atom

```
data_HgAu2O
_chemical_formula_sum 'Hg4 Au8 O4'
_space_group_name_H-M_alt 'F m -3 m'
_space_group_IT_number 225
_space_group_name_Hall '-F 4 2 3'
_cell_length_a 6.453
_cell_length_b 6.453
_cell_length_c 6.453
_cell_angle_alpha 90.00
_cell_angle_beta 90.00
_cell_angle_gamma 90.00
loop_
_atom_site_label
_atom_site_fract_x
_atom_site_fract_y
_atom_site_fract_z
Hg1 0.000 0.000 0.000
Au1 0.250 0.250 0.250
O1 0.000 0.000 0.500
```

# 7
First-principles (PBE-GGA) data for a geometry-optimized Li2Sc2AlCu5 structure, as listed in the Alexandria database.

Output
- Formation energy from the elements: -101 meV/atom
- VASP energy: -4.172 eV per atom
- DOS at the Fermi energy: 0.43 states/eV/atom

```
data_Li2Sc2AlCu5
_chemical_formula_sum 'Li4 Sc4 Al2 Cu10'
_space_group_name_H-M_alt 'P 4/m b m'
_space_group_IT_number 127
_space_group_name_Hall '-P 4 2ab'
_cell_length_a 9.118
_cell_length_b 9.118
_cell_length_c 3.467
_cell_angle_alpha 90.00
_cell_angle_beta 90.00
_cell_angle_gamma 90.00
loop_
_atom_site_label
_atom_site_fract_x
_atom_site_fract_y
_atom_site_fract_z
Li1 0.121 0.379 0.000
Sc1 0.179 0.679 0.000
Al1 0.000 0.000 0.000
Cu1 0.000 0.500 0.500
Cu2 0.053 0.201 0.500
```

# 8
First-principles (PBE-GGA) data for a geometry-optimized CsV2Pd2 structure, as listed in the Alexandria database.

Output
- Formation energy from the elements: 745 meV/atom
- VASP energy: -5.151 eV per atom
- Energy relative to the lowest polymorph listed for this composition: 0.2303 eV per atom
- DOS at the Fermi energy: 0.70 states/eV/atom

```
data_CsV2Pd2
_chemical_formula_sum 'Cs2 V4 Pd4'
_space_group_name_H-M_alt 'I 4/m m m'
_space_group_IT_number 139
_space_group_name_Hall '-I 4 2'
_cell_length_a 4.797
_cell_length_b 4.797
_cell_length_c 9.093
_cell_angle_alpha 90.00
_cell_angle_beta 90.00
_cell_angle_gamma 90.00
loop_
_atom_site_label
_atom_site_fract_x
_atom_site_fract_y
_atom_site_fract_z
Cs1 0.000 0.000 0.000
V1 0.000 0.000 0.382
Pd1 0.000 0.500 0.250
```

# 9
First-principles (PBE-GGA) data for a geometry-optimized SiHI3 structure, as listed in the Alexandria database.

Output
- VASP energy: -2.966 eV per atom
- Energy relative to the lowest polymorph listed for this composition: 0.0000 eV per atom
- DOS at the Fermi energy: 0.00 states/eV/atom

```
data_SiHI3
_chemical_formula_sum 'Si4 H4 I12'
_space_group_name_H-M_alt 'P 1 21/c 1'
_space_group_IT_number 14
_space_group_name_Hall '-P 2ybc'
_cell_length_a 7.962
_cell_length_b 10.284
_cell_length_c 13.617
_cell_angle_alpha 90.00
_cell_angle_beta 118.94
_cell_angle_gamma 90.00
loop_
_atom_site_label
_atom_site_fract_x
_atom_site_fract_y
_atom_site_fract_z
Si1 0.042 0.236 0.408
H1 0.109 0.126 0.365
I1 0.114 0.184 0.601
I2 0.222 0.069 0.909
I3 0.302 0.733 0.716
```

# 10
First-principles (PBE-GGA) data for a geometry-optimized CaPuSc structure, as listed in the Alexandria database.

Output
- Formation energy from the elements: 367 meV/atom
- VASP energy: -7.188 eV per atom
- Energy relative to the lowest polymorph listed for this composition: 0.1225 eV per atom
- DOS at the Fermi energy: 1.95 states/eV/atom

```
data_CaPuSc
_chemical_formula_sum 'Ca4 Pu4 Sc4'
_space_group_name_H-M_alt 'C 1 2/m 1'
_space_group_IT_number 12
_space_group_name_Hall '-C 2y'
_cell_length_a 15.923
_cell_length_b 3.519
_cell_length_c 6.075
_cell_angle_alpha 90.00
_cell_angle_beta 97.61
_cell_angle_gamma 90.00
loop_
_atom_site_label
_atom_site_fract_x
_atom_site_fract_y
_atom_site_fract_z
Ca1 0.107 0.000 0.377
Pu1 0.242 0.000 0.879
Sc1 0.084 0.500 0.872
```

# 11
First-principles (PBE-GGA) data for a geometry-optimized MgRe3 structure, as listed in the Alexandria database.

Output
- Formation energy from the elements: 182 meV/atom
- VASP energy: -9.552 eV per atom
- Energy relative to the lowest polymorph listed for this composition: 0.0042 eV per atom
- DOS at the Fermi energy: 1.05 states/eV/atom

```
data_MgRe3
_chemical_formula_sum 'Mg1 Re3'
_space_group_name_H-M_alt 'P -6 m 2'
_space_group_IT_number 187
_space_group_name_Hall 'P -6 2'
_cell_length_a 2.8013
_cell_length_b 2.8013
_cell_length_c 9.1889
_cell_angle_alpha 90.00
_cell_angle_beta 90.00
_cell_angle_gamma 120.00
loop_
_atom_site_label
_atom_site_fract_x
_atom_site_fract_y
_atom_site_fract_z
Mg1 0.0000 0.0000 0.0000
Re1 0.0000 0.0000 0.5000
Re2 0.6667 0.3333 0.2617
```

# 12
First-principles (PBE-GGA) data for a geometry-optimized Nd3CSe structure, as listed in the Alexandria database.

Output
- Formation energy (no corrections): -0.75 eV per atom
- VASP energy: -6.154 eV per atom
- DOS at the Fermi energy: 0.66 states/eV/atom

```
data_Nd3CSe
_chemical_formula_sum 'Nd24 C8 Se8'
_space_group_name_H-M_alt 'C 1 2/c 1'
_space_group_IT_number 15
_space_group_name_Hall '-C 2yc'
_cell_length_a 14.376
_cell_length_b 11.281
_cell_length_c 6.720
_cell_angle_alpha 90.00
_cell_angle_beta 101.03
_cell_angle_gamma 90.00
loop_
_atom_site_label
_atom_site_fract_x
_atom_site_fract_y
_atom_site_fract_z
Nd1 0.097 0.247 0.465
Nd2 0.101 0.078 0.953
Nd3 0.102 0.416 0.928
C1 0.000 0.085 0.250
C2 0.000 0.251 0.750
Se1 0.247 0.401 0.312
```

Q: Which of these has the lowest VASP energy?
A: MgRe3